The following is a DFT calculation (PBE) of a geometry-optimized CsCo3Cl structure.

Output
DFT total energy = -2.5023 eV per atom
symmetry = Pm-3m
crystal system = cubic
energy relative to the elements, uncorrected = 2.30 eV per atom

Cell: 4.942 4.942 4.942 Å, 90.00 90.00 90.00°
Site moments in Bohr magnetons follow the coordinates.
Positions (direct):
Cs1 0.000 0.000 0.000  -0.07
Co1 0.000 0.500 0.000  1.47
Co2 0.000 0.000 0.500  1.31
Co3 0.500 0.000 0.000  1.49
Cl1 0.500 0.500 0.500  0.09